Crystalline TaCl2O at its relaxed geometry. Source: Alexandria, functional PBE.

a b c (Å): 9.2879 9.2879 6.8476
angles (deg): 47.30 47.30 90.00
Last column: nearest neighbours and their distance in Å.
Fractional coordinates of all 8 atoms:
1 Cl 0.7820 0.1250 0.2500  2 Ta 2.52
2 Cl 0.9680 0.6250 0.2500  2 Ta 2.52
3 Cl 0.3750 0.2180 0.7500  2 Ta 2.52
4 Cl 0.8750 0.0320 0.7500  2 Ta 2.52
5 O 0.5000 0.5000 0.0000  2 Ta 1.94
6 O 0.2500 0.7500 0.5000  2 Ta 1.94
7 Ta 0.0000 0.0000 0.0000  2 O 1.94
8 Ta 0.7500 0.2500 0.5000  2 O 1.94

## Properties
The value obtained for the uncorrected formation energy is -1.52 eV/atom. For the density of states at the Fermi level, the calculation gives 0.158 states/eV per atom.